VHgWO6 | PBE with a Hubbard U | relaxed

Lattice parameters (Å, degrees): 7.238 7.290 10.194 90.00 90.00 90.00
Space group Imma (No. 74)
One atom of each set of equivalent atoms:
1 V 0.250 0.250 0.250 (multiplicity 4)
2 Hg 0.000 0.250 0.541 (multiplicity 4)
3 W 0.000 0.000 0.000 (multiplicity 4)
4 O 0.000 0.250 0.311 (multiplicity 4)
5 O 0.000 0.250 0.933 (multiplicity 4)
6 O 0.188 0.070 0.125 (multiplicity 16)

Summary:
Total energy ... -6.459 eV per atom
M_tot ... 0.00 μB/f.u.